Record 1
Compound: LaTaBr2
Source: Alexandria via LeMat-Bulk
Functional: PBE-GGA
Structure: relaxed

Structure (CIF):
```
data_LaTaBr2
_symmetry_space_group_name_H-M 'F -4 3 m'
_symmetry_Int_Tables_number 216
_symmetry_space_group_name_Hall 'F -4 2 3'
_cell_length_a 7.6699
_cell_length_b 7.6699
_cell_length_c 7.6699
_cell_angle_alpha 90.00
_cell_angle_beta 90.00
_cell_angle_gamma 90.00
loop_
_atom_site_label
_atom_site_type_symbol
_atom_site_fract_x
_atom_site_fract_y
_atom_site_fract_z
La1 La 0.0000 0.0000 0.0000
Ta1 Ta 0.2500 0.2500 0.7500
Br1 Br 0.0000 0.0000 0.5000
Br2 Br 0.2500 0.2500 0.2500
```

Values from the calculation:
The calculation puts the density at 7.061 g/cm3. The calculation puts the density of states at the Fermi level at 15.97 states/eV per cell. The energy above the most stable polymorph in this dataset is 317 kJ/mol of formula units. The total energy is -0.34602 Ry/atom. As for the raw formation energy: 0.324 eV per atom.

***

Record 2
Compound: LaTa3Br
Source: Alexandria via LeMat-Bulk
Functional: PBE-GGA
Structure: relaxed

Structure (CIF):
```
data_LaTa3Br
_symmetry_space_group_name_H-M 'P m -3 m'
_symmetry_Int_Tables_number 221
_symmetry_space_group_name_Hall '-P 4 2 3'
_cell_length_a 5.0655
_cell_length_b 5.0655
_cell_length_c 5.0655
_cell_angle_alpha 90.00
_cell_angle_beta 90.00
_cell_angle_gamma 90.00
loop_
_atom_site_label
_atom_site_type_symbol
_atom_site_fract_x
_atom_site_fract_y
_atom_site_fract_z
La1 La 0.0000 0.0000 0.0000
Ta1 Ta 0.0000 0.0000 0.5000
Br1 Br 0.5000 0.5000 0.5000
```

Values from the calculation:
The calculation puts the density at 9.731 g/cm3. The calculation puts the density of states at the Fermi level at 6.70 states/eV per cell. The energy above the most stable polymorph in this dataset is 646 kJ/mol of formula units. The total energy is -0.43892 Ry/atom. As for the raw formation energy: 2.460 eV per atom.

***

Record 3
Compound: LaTaBr2
Source: Alexandria via LeMat-Bulk
Functional: PBE-GGA
Structure: relaxed

Structure (CIF):
```
data_LaTaBr2
_symmetry_space_group_name_H-M 'C 1 2/m 1'
_symmetry_Int_Tables_number 12
_cell_length_a 6.7294
_cell_length_b 9.8306
_cell_length_c 3.5396
_cell_angle_alpha 90.00
_cell_angle_beta 119.02
_cell_angle_gamma 90.00
loop_
_symmetry_equiv_pos_as_xyz
'x,y,z'
'-x,-y,-z'
'-x,y,-z'
'x,-y,z'
'x+1/2,y+1/2,z'
'-x+1/2,-y+1/2,-z'
'-x+1/2,y+1/2,-z'
'x+1/2,-y+1/2,z'
loop_
_atom_site_label
_atom_site_type_symbol
_atom_site_fract_x
_atom_site_fract_y
_atom_site_fract_z
La1 La 0.0000 0.0000 0.0000
Ta1 Ta 0.0000 0.5000 0.0000
Br1 Br 0.2500 0.2500 0.0000
```

Values from the calculation:
The calculation puts the density at 7.780 g/cm3. The calculation puts the density of states at the Fermi level at 8.69 states/eV per cell. The energy above the most stable polymorph in this dataset is 165 kJ/mol of formula units. The total energy is -0.37492 Ry/atom. As for the raw formation energy: -0.070 eV per atom.

***

Record 4
Compound: LaTaBr2
Source: Alexandria via LeMat-Bulk
Functional: PBE-GGA
Structure: relaxed

Structure (CIF):
```
data_LaTaBr2
_symmetry_space_group_name_H-M 'P m m m'
_symmetry_Int_Tables_number 47
_cell_length_a 3.3207
_cell_length_b 4.9122
_cell_length_c 6.2090
_cell_angle_alpha 90.00
_cell_angle_beta 90.00
_cell_angle_gamma 90.00
loop_
_symmetry_equiv_pos_as_xyz
'x,y,z'
'-x,-y,-z'
'-x,-y,z'
'x,y,-z'
'x,-y,-z'
'-x,y,z'
'-x,y,-z'
'x,-y,z'
loop_
_atom_site_label
_atom_site_type_symbol
_atom_site_fract_x
_atom_site_fract_y
_atom_site_fract_z
La1 La 0.0000 0.0000 0.0000
Ta1 Ta 0.5000 0.0000 0.5000
Br1 Br 0.0000 0.5000 0.5000
Br2 Br 0.5000 0.5000 0.0000
```

Values from the calculation:
The calculation puts the density at 7.864 g/cm3. The calculation puts the density of states at the Fermi level at 4.44 states/eV per cell. The energy above the most stable polymorph in this dataset is 159 kJ/mol of formula units. The total energy is -0.37593 Ry/atom. As for the raw formation energy: -0.083 eV per atom.

***

Record 5
Compound: LaTaBr3
Source: Alexandria via LeMat-Bulk
Functional: PBE-GGA
Structure: relaxed

Structure (CIF):
```
data_LaTaBr3
_symmetry_space_group_name_H-M 'P m -3 m'
_symmetry_Int_Tables_number 221
_symmetry_space_group_name_Hall '-P 4 2 3'
_cell_length_a 5.8459
_cell_length_b 5.8459
_cell_length_c 5.8459
_cell_angle_alpha 90.00
_cell_angle_beta 90.00
_cell_angle_gamma 90.00
loop_
_atom_site_label
_atom_site_type_symbol
_atom_site_fract_x
_atom_site_fract_y
_atom_site_fract_z
La1 La 0.0000 0.0000 0.0000
Ta1 Ta 0.5000 0.5000 0.5000
Br1 Br 0.0000 0.0000 0.5000
```

Values from the calculation:
The calculation puts the density at 4.651 g/cm3. The calculation puts the density of states at the Fermi level at 15.09 states/eV per cell. The total energy is -0.31600 Ry/atom. As for the raw formation energy: 0.060 eV per atom.

***

Record 6
Compound: LaTaBr2
Source: Alexandria via LeMat-Bulk
Functional: PBE-GGA
Structure: relaxed

Structure (CIF):
```
data_LaTaBr2
_symmetry_space_group_name_H-M 'I m m m'
_symmetry_Int_Tables_number 71
_symmetry_space_group_name_Hall '-I 2 2'
_cell_length_a 3.5957
_cell_length_b 5.0191
_cell_length_c 13.3685
_cell_angle_alpha 90.00
_cell_angle_beta 90.00
_cell_angle_gamma 90.00
loop_
_atom_site_label
_atom_site_type_symbol
_atom_site_fract_x
_atom_site_fract_y
_atom_site_fract_z
La1 La 0.0000 0.0000 0.0000
Ta1 Ta 0.0000 0.0000 0.5000
Br1 Br 0.0000 0.5000 0.1511
```

Values from the calculation:
The calculation puts the density at 6.603 g/cm3. The calculation puts the density of states at the Fermi level at 5.83 states/eV per cell. The energy above the most stable polymorph in this dataset is 47 kJ/mol of formula units. The total energy is -0.39726 Ry/atom. As for the raw formation energy: -0.373 eV per atom.

***

Record 7
Compound: LaTaBr4
Source: Alexandria via LeMat-Bulk
Functional: PBE-GGA
Structure: relaxed

Structure (CIF):
```
data_LaTaBr4
_symmetry_space_group_name_H-M 'F -4 3 m'
_symmetry_Int_Tables_number 216
_symmetry_space_group_name_Hall 'F -4 2 3'
_cell_length_a 8.8230
_cell_length_b 8.8230
_cell_length_c 8.8230
_cell_angle_alpha 90.00
_cell_angle_beta 90.00
_cell_angle_gamma 90.00
loop_
_atom_site_label
_atom_site_type_symbol
_atom_site_fract_x
_atom_site_fract_y
_atom_site_fract_z
La1 La 0.0000 0.0000 0.0000
Ta1 Ta 0.2500 0.2500 0.7500
Br1 Br 0.1250 0.1250 0.3750
```

Values from the calculation:
The calculation puts the density at 6.184 g/cm3. The calculation puts the density of states at the Fermi level at 35.45 states/eV per cell. The total energy is -0.25097 Ry/atom. As for the raw formation energy: 0.497 eV per atom.

***

Record 8
Compound: LaTaBr2
Source: Alexandria via LeMat-Bulk
Functional: PBE-GGA
Structure: relaxed

Structure (CIF):
```
data_LaTaBr2
_symmetry_space_group_name_H-M 'C 1 2/m 1'
_symmetry_Int_Tables_number 12
_cell_length_a 14.6311
_cell_length_b 3.6367
_cell_length_c 5.0138
_cell_angle_alpha 90.00
_cell_angle_beta 90.02
_cell_angle_gamma 90.00
loop_
_symmetry_equiv_pos_as_xyz
'x,y,z'
'-x,-y,-z'
'-x,y,-z'
'x,-y,z'
'x+1/2,y+1/2,z'
'-x+1/2,-y+1/2,-z'
'-x+1/2,y+1/2,-z'
'x+1/2,-y+1/2,z'
loop_
_atom_site_label
_atom_site_type_symbol
_atom_site_fract_x
_atom_site_fract_y
_atom_site_fract_z
La1 La 0.0000 0.0000 0.0000
Ta1 Ta 0.0000 0.5000 0.5000
Br1 Br 0.1532 0.5000 0.7569
```

Values from the calculation:
The calculation puts the density at 5.971 g/cm3. The calculation puts the density of states at the Fermi level at 10.29 states/eV per cell. The energy above the most stable polymorph in this dataset is 67 kJ/mol of formula units. The total energy is -0.39359 Ry/atom. As for the raw formation energy: -0.324 eV per atom.

***

Record 9
Compound: LaTaBr2
Source: Alexandria via LeMat-Bulk
Functional: PBE-GGA
Structure: relaxed

Structure (CIF):
```
data_LaTaBr2
_symmetry_space_group_name_H-M 'C m m m'
_symmetry_Int_Tables_number 65
_symmetry_space_group_name_Hall '-C 2 2'
_cell_length_a 3.2712
_cell_length_b 6.1736
_cell_length_c 9.7138
_cell_angle_alpha 90.00
_cell_angle_beta 90.00
_cell_angle_gamma 90.00
loop_
_atom_site_label
_atom_site_type_symbol
_atom_site_fract_x
_atom_site_fract_y
_atom_site_fract_z
La1 La 0.0000 0.0000 0.0000
Ta1 Ta 0.0000 0.0000 0.5000
Br1 Br 0.0000 0.5000 0.2763
```

Values from the calculation:
The calculation puts the density at 8.120 g/cm3. The calculation puts the density of states at the Fermi level at 6.51 states/eV per cell. The energy above the most stable polymorph in this dataset is 177 kJ/mol of formula units. The total energy is -0.37262 Ry/atom. As for the raw formation energy: -0.038 eV per atom.

***

Record 10
Compound: LaTaBr2
Source: Alexandria via LeMat-Bulk
Functional: PBE-GGA
Structure: relaxed

Structure (CIF):
```
data_LaTaBr2
_symmetry_space_group_name_H-M 'I -4 m 2'
_symmetry_Int_Tables_number 119
_symmetry_space_group_name_Hall 'I -4 -2'
_cell_length_a 4.3270
_cell_length_b 4.3270
_cell_length_c 11.0612
_cell_angle_alpha 90.00
_cell_angle_beta 90.00
_cell_angle_gamma 90.00
loop_
_atom_site_label
_atom_site_type_symbol
_atom_site_fract_x
_atom_site_fract_y
_atom_site_fract_z
La1 La 0.0000 0.0000 0.0000
Ta1 Ta 0.0000 0.5000 0.7500
Br1 Br 0.0000 0.0000 0.5000
Br2 Br 0.0000 0.5000 0.2500
```

Values from the calculation:
The calculation puts the density at 7.692 g/cm3. The calculation puts the density of states at the Fermi level at 5.37 states/eV per cell. The energy above the most stable polymorph in this dataset is 224 kJ/mol of formula units. The total energy is -0.36369 Ry/atom. As for the raw formation energy: 0.083 eV per atom.

***

Record 11
Compound: LaTaBr2
Source: Alexandria via LeMat-Bulk
Functional: PBE-GGA
Structure: relaxed

Structure (CIF):
```
data_LaTaBr2
_symmetry_space_group_name_H-M 'I -4 2 d'
_symmetry_Int_Tables_number 122
_symmetry_space_group_name_Hall 'I -4 2bw'
_cell_length_a 4.8564
_cell_length_b 4.8564
_cell_length_c 18.7408
_cell_angle_alpha 90.00
_cell_angle_beta 90.00
_cell_angle_gamma 90.00
loop_
_atom_site_label
_atom_site_type_symbol
_atom_site_fract_x
_atom_site_fract_y
_atom_site_fract_z
La1 La 0.0000 0.0000 0.0000
Ta1 Ta 0.0000 0.0000 0.5000
Br1 Br 0.2156 0.2500 0.6250
```

Values from the calculation:
The calculation puts the density at 7.208 g/cm3. The calculation puts the density of states at the Fermi level at 12.41 states/eV per cell. The energy above the most stable polymorph in this dataset is 176 kJ/mol of formula units. The total energy is -0.37282 Ry/atom. As for the raw formation energy: -0.041 eV per atom.

***

Record 12
Compound: LaTaZnBr2
Source: Alexandria via LeMat-Bulk
Functional: PBE-GGA
Structure: relaxed

Structure (CIF):
```
data_LaTaZnBr2
_symmetry_space_group_name_H-M 'P 4/m m m'
_symmetry_Int_Tables_number 123
_symmetry_space_group_name_Hall '-P 4 2'
_cell_length_a 4.9656
_cell_length_b 4.9656
_cell_length_c 6.2666
_cell_angle_alpha 90.00
_cell_angle_beta 90.00
_cell_angle_gamma 90.00
loop_
_atom_site_label
_atom_site_type_symbol
_atom_site_fract_x
_atom_site_fract_y
_atom_site_fract_z
La1 La 0.0000 0.0000 0.0000
Ta1 Ta 0.5000 0.5000 0.0000
Zn1 Zn 0.0000 0.0000 0.5000
Br1 Br 0.0000 0.5000 0.5000
```

Values from the calculation:
The calculation puts the density at 5.858 g/cm3. The calculation puts the density of states at the Fermi level at 6.50 states/eV per cell. The total energy is -0.25269 Ry/atom. As for the raw formation energy: 0.842 eV per atom.

***

Record 13
Compound: LaTbBr6
Source: Alexandria via LeMat-Bulk
Functional: PBE-GGA
Structure: relaxed

Structure (CIF):
```
data_LaTbBr6
_symmetry_space_group_name_H-M 'C 1 2/m 1'
_symmetry_Int_Tables_number 12
_cell_length_a 7.1875
_cell_length_b 13.2020
_cell_length_c 7.1879
_cell_angle_alpha 90.00
_cell_angle_beta 106.32
_cell_angle_gamma 90.00
loop_
_symmetry_equiv_pos_as_xyz
'x,y,z'
'-x,-y,-z'
'-x,y,-z'
'x,-y,z'
'x+1/2,y+1/2,z'
'-x+1/2,-y+1/2,-z'
'-x+1/2,y+1/2,-z'
'x+1/2,-y+1/2,z'
loop_
_atom_site_label
_atom_site_type_symbol
_atom_site_fract_x
_atom_site_fract_y
_atom_site_fract_z
La1 La 0.0000 0.0000 0.0000
Tb1 Tb 0.0000 0.5000 0.5000
Br1 Br 0.2378 0.3532 0.7407
Br2 Br 0.2474 0.5000 0.2577
```

Values from the calculation:
The calculation puts the density at 3.943 g/cm3. The calculation puts the density of states at the Fermi level at 0.00 states/eV per cell. The energy above the most stable polymorph in this dataset is 0 kJ/mol of formula units. The total energy is -0.31955 Ry/atom. As for the raw formation energy: -1.898 eV per atom.

***

Record 14
Compound: LaTbBr
Source: Alexandria via LeMat-Bulk
Functional: PBE-GGA
Structure: relaxed

Structure (CIF):
```
data_LaTbBr
_symmetry_space_group_name_H-M 'P 3 m 1'
_symmetry_Int_Tables_number 156
_cell_length_a 3.7869
_cell_length_b 3.7869
_cell_length_c 7.6601
_cell_angle_alpha 90.00
_cell_angle_beta 90.00
_cell_angle_gamma 120.00
loop_
_symmetry_equiv_pos_as_xyz
'x,y,z'
'-y,x-y,z'
'-x+y,-x,z'
'-y,-x,z'
'-x+y,y,z'
'x,x-y,z'
loop_
_atom_site_label
_atom_site_type_symbol
_atom_site_fract_x
_atom_site_fract_y
_atom_site_fract_z
La1 La 0.0000 0.0000 0.0000
Tb1 Tb 0.6667 0.3333 0.3702
Br1 Br 0.3333 0.6667 0.6614
```

Values from the calculation:
The calculation puts the density at 6.593 g/cm3. The calculation puts the density of states at the Fermi level at 3.21 states/eV per cell. The energy above the most stable polymorph in this dataset is 0 kJ/mol of formula units. The total energy is -0.33056 Ry/atom. As for the raw formation energy: -0.754 eV per atom.